K2In2HgI6: relaxed, PBE.

Cell: 6.8528 8.7610 11.0481 Å, 99.67 103.63 111.44°
With the nearest neighbours (Å) after each atom.
Space group P-1 (No. 2)
One atom of each set of equivalent atoms:
K  0.2037  0.3481  0.1314  6 I 3.59-3.67
In  0.1131  0.8112  0.3266  1 Hg 2.75, 3 I 2.85-2.89
Hg  0.0000  0.0000  0.5000  2 In 2.75
I  0.2219  0.5105  0.8509  1 In 2.89
I  0.2776  0.9654  0.1419  1 In 2.86
I  0.4308  0.6890  0.4281  1 In 2.85

Output
N(E_F) = 0.0 states/eV/f.u.
uncorrected formation energy = -8.97 eV per formula unit
crystal system = triclinic